[1]
This record from Alexandria via LeMat-Bulk describes a relaxed structure of Dy8Te4Pt3S. The functional is PBE.

Computed properties:
Formation energy from raw total energies (eV per atom): -1.36
SG: No. 166

Lattice parameters (Å, degrees): 8.647 8.647 8.647 57.53 57.53 57.53
Fractional coordinates of all 16 atoms:
1 Dy 0.232 0.741 0.741
2 Dy 0.236 0.236 0.236
3 Dy 0.259 0.259 0.768
4 Dy 0.259 0.768 0.259
5 Dy 0.741 0.232 0.741
6 Dy 0.741 0.741 0.232
7 Dy 0.764 0.764 0.764
8 Dy 0.768 0.259 0.259
9 Te 0.000 0.000 0.000
10 Te 0.000 0.500 0.500
11 Te 0.500 0.000 0.500
12 Te 0.500 0.500 0.000
13 Pt 0.000 0.000 0.500
14 Pt 0.000 0.500 0.000
15 Pt 0.500 0.000 0.000
16 S 0.500 0.500 0.500



[2]
This record from Alexandria via LeMat-Bulk describes a relaxed structure of Dy4TePtS2. The functional is PBE.

Computed properties:
Formation energy from raw total energies (eV per atom): -1.57
SG: No. 10

Lattice parameters (Å, degrees): 7.095 3.979 7.187 90.00 108.47 90.00
Fractional coordinates of all 8 atoms:
1 Dy 0.225 0.000 0.224
2 Dy 0.234 0.500 0.755
3 Dy 0.766 0.500 0.245
4 Dy 0.775 0.000 0.776
5 Te 0.500 0.500 0.500
6 Pt 0.000 0.000 0.500
7 S 0.000 0.500 0.000
8 S 0.500 0.000 0.000



[3]
This record from Alexandria via LeMat-Bulk describes a relaxed structure of Dy8Sb2Pt3. The functional is PBE.

Computed properties:
Formation energy from raw total energies (eV per atom): -0.80
SG: No. 12

Lattice parameters (Å, degrees): 8.871 8.871 6.933 104.98 104.98 53.72
Fractional coordinates of all 13 atoms:
1 Dy 0.089 0.089 0.355
2 Dy 0.148 0.638 0.099
3 Dy 0.362 0.852 0.901
4 Dy 0.401 0.401 0.591
5 Dy 0.599 0.599 0.409
6 Dy 0.638 0.148 0.099
7 Dy 0.852 0.362 0.901
8 Dy 0.911 0.911 0.645
9 Sb 0.246 0.246 0.167
10 Sb 0.754 0.754 0.833
11 Pt 0.242 0.758 0.500
12 Pt 0.500 0.500 0.000
13 Pt 0.758 0.242 0.500



[4]
This record from Alexandria via LeMat-Bulk describes a relaxed structure of Dy3SbPt. The functional is PBE.

Computed properties:
Formation energy from raw total energies (eV per atom): -0.94
SG: No. 63

Lattice parameters (Å, degrees): 6.773 6.773 10.265 90.00 90.00 143.50
Fractional coordinates of all 10 atoms:
1 Dy 0.078 0.922 0.750
2 Dy 0.360 0.640 0.550
3 Dy 0.360 0.640 0.950
4 Dy 0.640 0.360 0.050
5 Dy 0.640 0.360 0.450
6 Dy 0.922 0.078 0.250
7 Sb 0.239 0.761 0.250
8 Sb 0.761 0.239 0.750
9 Pt 0.000 0.000 0.000
10 Pt 0.000 0.000 0.500



[5]
This record from Alexandria via LeMat-Bulk describes a relaxed structure of DySbPt. The functional is PBE.

Computed properties:
Formation energy from raw total energies (eV per atom): -0.70
SG: No. 107

Lattice parameters (Å, degrees): 3.961 3.961 8.900 90.00 90.00 90.00
Fractional coordinates of all 6 atoms:
1 Dy 0.000 0.000 0.000
2 Dy 0.500 0.500 0.500
3 Sb 0.000 0.000 0.669
4 Sb 0.500 0.500 0.169
5 Pt 0.000 0.000 0.359
6 Pt 0.500 0.500 0.859



[6]
This record from Alexandria via LeMat-Bulk describes a relaxed structure of DySbPt5. The functional is PBE.

Computed properties:
Formation energy from raw total energies (eV per atom): -0.61
SG: No. 62

Lattice parameters (Å, degrees): 8.766 5.536 10.763 90.00 90.00 90.00
Fractional coordinates of all 28 atoms:
1 Dy 0.246 0.250 0.047
2 Dy 0.254 0.750 0.547
3 Dy 0.746 0.250 0.453
4 Dy 0.754 0.750 0.953
5 Sb 0.162 0.250 0.346
6 Sb 0.338 0.750 0.846
7 Sb 0.662 0.250 0.154
8 Sb 0.838 0.750 0.654
9 Pt 0.062 0.507 0.796
10 Pt 0.062 0.993 0.796
11 Pt 0.075 0.250 0.573
12 Pt 0.092 0.750 0.021
13 Pt 0.182 0.750 0.279
14 Pt 0.318 0.250 0.779
15 Pt 0.408 0.250 0.521
16 Pt 0.425 0.750 0.073
17 Pt 0.438 0.007 0.296
18 Pt 0.438 0.493 0.296
19 Pt 0.562 0.507 0.704
20 Pt 0.562 0.993 0.704
21 Pt 0.575 0.250 0.927
22 Pt 0.592 0.750 0.479
23 Pt 0.682 0.750 0.221
24 Pt 0.818 0.250 0.721
25 Pt 0.908 0.250 0.979
26 Pt 0.925 0.750 0.427
27 Pt 0.938 0.007 0.204
28 Pt 0.938 0.493 0.204



[7]
This record from Alexandria via LeMat-Bulk describes a relaxed structure of Dy4SbPt. The functional is PBE.

Computed properties:
Formation energy from raw total energies (eV per atom): -0.67
SG: No. 15
Relative energy among the computed polymorphs (meV per atom): 152.3

Lattice parameters (Å, degrees): 8.464 8.464 7.177 106.32 106.32 47.37
Fractional coordinates of all 12 atoms:
1 Dy 0.011 0.169 0.470
2 Dy 0.169 0.011 0.970
3 Dy 0.272 0.407 0.853
4 Dy 0.407 0.272 0.353
5 Dy 0.593 0.728 0.647
6 Dy 0.728 0.593 0.147
7 Dy 0.831 0.989 0.030
8 Dy 0.989 0.831 0.530
9 Sb 0.326 0.674 0.250
10 Sb 0.674 0.326 0.750
11 Pt 0.000 0.500 0.500
12 Pt 0.500 0.000 0.000



[8]
This record from Alexandria via LeMat-Bulk describes a relaxed structure of DySbPt. The functional is PBE.

Computed properties:
Formation energy from raw total energies (eV per atom): -1.05
SG: No. 156

Lattice parameters (Å, degrees): 4.492 4.492 4.006 90.00 90.00 120.00
Fractional coordinates of all 3 atoms:
1 Dy 0.000 0.000 0.000
2 Sb 0.667 0.333 0.518
3 Pt 0.333 0.667 0.418



[9]
This record from Alexandria via LeMat-Bulk describes a relaxed structure of DySb2Pt7. The functional is PBE.

Computed properties:
Formation energy from raw total energies (eV per atom): -0.61
SG: No. 139

Lattice parameters (Å, degrees): 11.851 11.851 11.851 160.29 160.29 28.02
Fractional coordinates of all 10 atoms:
1 Dy 0.000 0.000 0.000
2 Sb 0.330 0.330 0.000
3 Sb 0.670 0.670 0.000
4 Pt 0.092 0.592 0.500
5 Pt 0.250 0.750 0.500
6 Pt 0.408 0.908 0.500
7 Pt 0.500 0.500 0.000
8 Pt 0.592 0.092 0.500
9 Pt 0.750 0.250 0.500
10 Pt 0.908 0.408 0.500



[10]
This record from Alexandria via LeMat-Bulk describes a relaxed structure of DySb2Pt. The functional is PBE.

Computed properties:
Formation energy from raw total energies (eV per atom): -0.19
SG: No. 166

Lattice parameters (Å, degrees): 3.702 3.702 28.579 90.00 90.00 120.00
Fractional coordinates of all 12 atoms:
1 Dy 0.000 0.000 0.000
2 Dy 0.333 0.667 0.667
3 Dy 0.667 0.333 0.333
4 Sb 0.000 0.000 0.108
5 Sb 0.000 0.000 0.892
6 Sb 0.333 0.667 0.558
7 Sb 0.333 0.667 0.775
8 Sb 0.667 0.333 0.225
9 Sb 0.667 0.333 0.442
10 Pt 0.000 0.000 0.500
11 Pt 0.333 0.667 0.167
12 Pt 0.667 0.333 0.833



[11]
This record from Alexandria via LeMat-Bulk describes a relaxed structure of Dy8Sb2Pt. The functional is PBE.

Computed properties:
Formation energy from raw total energies (eV per atom): -0.59
SG: No. 12

Lattice parameters (Å, degrees): 9.643 9.643 7.287 97.48 97.48 27.98
Fractional coordinates of all 11 atoms:
1 Dy 0.004 0.004 0.273
2 Dy 0.215 0.215 0.850
3 Dy 0.352 0.352 0.466
4 Dy 0.404 0.404 0.988
5 Dy 0.596 0.596 0.012
6 Dy 0.648 0.648 0.534
7 Dy 0.785 0.785 0.150
8 Dy 0.996 0.996 0.727
9 Sb 0.182 0.182 0.272
10 Sb 0.818 0.818 0.728
11 Pt 0.500 0.500 0.500



[12]
This record from Alexandria via LeMat-Bulk describes a relaxed structure of Dy2SbPt9. The functional is PBE.

Computed properties:
Formation energy from raw total energies (eV per atom): -0.76
SG: No. 123

Lattice parameters (Å, degrees): 4.107 4.107 12.316 90.00 90.00 90.00
Fractional coordinates of all 12 atoms:
1 Dy 0.000 0.000 0.165
2 Dy 0.000 0.000 0.835
3 Sb 0.000 0.000 0.500
4 Pt 0.000 0.500 0.000
5 Pt 0.000 0.500 0.337
6 Pt 0.000 0.500 0.663
7 Pt 0.500 0.000 0.000
8 Pt 0.500 0.000 0.337
9 Pt 0.500 0.000 0.663
10 Pt 0.500 0.500 0.170
11 Pt 0.500 0.500 0.500
12 Pt 0.500 0.500 0.830



[13]
This record from Alexandria via LeMat-Bulk describes a relaxed structure of Dy4SbPt. The functional is PBE.

Computed properties:
Formation energy from raw total energies (eV per atom): -0.82
SG: No. 11
Relative energy among the computed polymorphs (meV per atom): 0.0

Lattice parameters (Å, degrees): 6.098 6.557 8.781 90.00 110.40 90.00
Fractional coordinates of all 12 atoms:
1 Dy 0.001 0.000 0.208
2 Dy 0.001 0.500 0.208
3 Dy 0.395 0.250 0.605
4 Dy 0.431 0.250 0.105
5 Dy 0.569 0.750 0.895
6 Dy 0.605 0.750 0.395
7 Dy 0.999 0.000 0.792
8 Dy 0.999 0.500 0.792
9 Sb 0.200 0.750 0.545
10 Sb 0.800 0.250 0.455
11 Pt 0.270 0.750 0.072
12 Pt 0.730 0.250 0.928



[14]
This record from Alexandria via LeMat-Bulk describes a relaxed structure of Dy3SbPt12. The functional is PBE.

Computed properties:
Formation energy from raw total energies (eV per atom): -0.83
SG: No. 123

Lattice parameters (Å, degrees): 4.114 4.114 16.412 90.00 90.00 90.00
Fractional coordinates of all 16 atoms:
1 Dy 0.000 0.000 0.000
2 Dy 0.000 0.000 0.249
3 Dy 0.000 0.000 0.751
4 Sb 0.000 0.000 0.500
5 Pt 0.000 0.500 0.126
6 Pt 0.000 0.500 0.378
7 Pt 0.000 0.500 0.622
8 Pt 0.000 0.500 0.874
9 Pt 0.500 0.000 0.126
10 Pt 0.500 0.000 0.378
11 Pt 0.500 0.000 0.622
12 Pt 0.500 0.000 0.874
13 Pt 0.500 0.500 0.000
14 Pt 0.500 0.500 0.253
15 Pt 0.500 0.500 0.500
16 Pt 0.500 0.500 0.747



[15]
This record from Alexandria via LeMat-Bulk describes a relaxed structure of DySbPt. The functional is PBE.

Computed properties:
Formation energy from raw total energies (eV per atom): -1.23
SG: No. 216

Lattice parameters (Å, degrees): 6.611 6.611 6.611 90.00 90.00 90.00
Fractional coordinates of all 12 atoms:
1 Dy 0.000 0.000 0.000
2 Dy 0.000 0.500 0.500
3 Dy 0.500 0.000 0.500
4 Dy 0.500 0.500 0.000
5 Sb 0.000 0.000 0.500
6 Sb 0.000 0.500 0.000
7 Sb 0.500 0.000 0.000
8 Sb 0.500 0.500 0.500
9 Pt 0.250 0.250 0.250
10 Pt 0.250 0.750 0.750
11 Pt 0.750 0.250 0.750
12 Pt 0.750 0.750 0.250



[16]
This record from Alexandria via LeMat-Bulk describes a relaxed structure of Dy6SbPt2Se3. The functional is PBE.

Computed properties:
Formation energy from raw total energies (eV per atom): -1.45
SG: No. 12

Lattice parameters (Å, degrees): 9.421 9.421 8.491 105.66 105.66 25.03
Fractional coordinates of all 12 atoms:
1 Dy 0.008 0.008 0.264
2 Dy 0.327 0.327 0.886
3 Dy 0.330 0.330 0.420
4 Dy 0.670 0.670 0.580
5 Dy 0.673 0.673 0.114
6 Dy 0.992 0.992 0.736
7 Sb 0.500 0.500 0.000
8 Pt 0.170 0.170 0.346
9 Pt 0.830 0.830 0.654
10 Se 0.161 0.161 0.843
11 Se 0.500 0.500 0.500
12 Se 0.839 0.839 0.157



[17]
This record from Alexandria via LeMat-Bulk describes a relaxed structure of Dy2ScPt3. The functional is PBE.

Computed properties:
SG: No. 71
DFT formation energy (eV per atom): -1.07

Lattice parameters (Å, degrees): 4.054 5.657 11.797 90.00 90.00 90.00
Fractional coordinates of all 12 atoms:
1 Dy 0.000 0.000 0.172
2 Dy 0.000 0.000 0.828
3 Dy 0.500 0.500 0.328
4 Dy 0.500 0.500 0.672
5 Sc 0.000 0.000 0.500
6 Sc 0.500 0.500 0.000
7 Pt 0.000 0.500 0.152
8 Pt 0.000 0.500 0.500
9 Pt 0.000 0.500 0.848
10 Pt 0.500 0.000 0.000
11 Pt 0.500 0.000 0.348
12 Pt 0.500 0.000 0.652



[18]
This record from Alexandria via LeMat-Bulk describes a relaxed structure of DySc2Pt. The functional is PBE.

Computed properties:
SG: No. 160
Relative energy among the computed polymorphs (meV per atom): 242.4
DFT formation energy (eV per atom): -0.46

Lattice parameters (Å, degrees): 3.758 3.758 25.150 90.00 90.00 120.00
Fractional coordinates of all 12 atoms:
1 Dy 0.000 0.000 0.000
2 Dy 0.333 0.667 0.667
3 Dy 0.667 0.333 0.333
4 Sc 0.000 0.000 0.229
5 Sc 0.000 0.000 0.442
6 Sc 0.333 0.667 0.108
7 Sc 0.333 0.667 0.896
8 Sc 0.667 0.333 0.563
9 Sc 0.667 0.333 0.775
10 Pt 0.000 0.000 0.836
11 Pt 0.333 0.667 0.502
12 Pt 0.667 0.333 0.169



[19]
This record from Alexandria via LeMat-Bulk describes a relaxed structure of DySc3Pt4. The functional is PBE.

Computed properties:
SG: No. 51
DFT formation energy (eV per atom): -1.22

Lattice parameters (Å, degrees): 9.575 6.564 4.790 90.00 90.00 90.00
Fractional coordinates of all 16 atoms:
1 Dy 0.000 0.000 0.000
2 Dy 0.500 0.000 0.000
3 Sc 0.000 0.500 0.000
4 Sc 0.250 0.000 0.498
5 Sc 0.250 0.500 0.497
6 Sc 0.500 0.500 0.000
7 Sc 0.750 0.000 0.502
8 Sc 0.750 0.500 0.503
9 Pt 0.000 0.261 0.500
10 Pt 0.000 0.739 0.500
11 Pt 0.250 0.261 0.995
12 Pt 0.250 0.739 0.995
13 Pt 0.500 0.261 0.500
14 Pt 0.500 0.739 0.500
15 Pt 0.750 0.261 0.005
16 Pt 0.750 0.739 0.005



[20]
This record from Alexandria via LeMat-Bulk describes a relaxed structure of Dy2Sc3Pt4. The functional is PBE.

Computed properties:
SG: No. 64
Relative energy among the computed polymorphs (meV per atom): 116.6
DFT formation energy (eV per atom): -1.08

Lattice parameters (Å, degrees): 8.933 8.933 7.415 90.00 90.00 140.70
Fractional coordinates of all 18 atoms:
1 Dy 0.098 0.902 0.909
2 Dy 0.402 0.598 0.409
3 Dy 0.598 0.402 0.591
4 Dy 0.902 0.098 0.091
5 Sc 0.000 0.000 0.500
6 Sc 0.018 0.482 0.750
7 Sc 0.482 0.018 0.250
8 Sc 0.500 0.500 0.000
9 Sc 0.518 0.982 0.750
10 Sc 0.982 0.518 0.250
11 Pt 0.168 0.832 0.541
12 Pt 0.183 0.317 0.750
13 Pt 0.317 0.183 0.250
14 Pt 0.332 0.668 0.041
15 Pt 0.668 0.332 0.959
16 Pt 0.683 0.817 0.750
17 Pt 0.817 0.683 0.250
18 Pt 0.832 0.168 0.459



Total magnetization values (in μB/atom) by entry order: 0.000; 0.000; 0.000; 0.000; 0.000; 0.000; 0.000; 0.000; 0.000; 0.000; 0.000; 0.000; 0.000; 0.000; 0.000; 0.000; 0.000; 0.000; 0.000; 0.000.